## A
Material: Pu2MnPt3
Method: DFT, PBE
State: relaxed

Values from the calculation:
The calculation puts the magnetization at 28.49 Bohr magnetons per cell. The calculation puts the volume at 21.37 Å³/atom.

abc: 4.315 5.494 10.818
angles: 90.00 90.00 90.00
Space group Immm (No. 71)
One atom of each set of equivalent atoms:
1 Pu 0.000 0.000 0.177
2 Mn 0.000 0.000 0.500
3 Pt 0.000 0.500 0.136
4 Pt 0.000 0.500 0.500

***

## B
Material: Pu2MnPt3
Method: DFT, PBE
State: relaxed

Values from the calculation:
The calculation puts the magnetization at 43.67 Bohr magnetons per cell. The calculation puts the volume at 18.85 Å³/atom.

abc: 5.5841 5.5841 12.5649
angles: 90.00 90.00 120.00
Space group R-3m (No. 166, hexagonal axes)
One atom of each set of equivalent atoms:
1 Pu 0.0000 0.0000 0.1220
2 Mn 0.0000 0.0000 0.5000
3 Pt 0.0000 0.5000 0.0000

***

Energetically preferred structure: B | next structure: +0.206 eV/atom

***

## A
Material: RbMn3Pt
Method: DFT, PBE
State: relaxed

Values from the calculation:
The calculation puts the magnetization at 13.79 Bohr magnetons per cell. The calculation puts the volume at 26.45 Å³/atom.

abc: 5.095 5.095 5.095
angles: 90.00 90.00 90.00
Space group Pm-3m (No. 221)
One atom of each set of equivalent atoms:
1 Rb 0.000 0.000 0.000
2 Mn 0.000 0.500 0.500
3 Pt 0.500 0.500 0.500

***

## B
Material: RbMn3Pt
Method: DFT, PBE
State: relaxed

Values from the calculation:
The calculation puts the magnetization at 11.36 Bohr magnetons per cell. The calculation puts the volume at 20.76 Å³/atom.

abc: 4.700 4.700 4.700
angles: 90.00 90.00 90.00
Space group Pm-3m (No. 221)
One atom of each set of equivalent atoms:
1 Rb 0.000 0.000 0.000
2 Mn 0.000 0.000 0.500
3 Pt 0.500 0.500 0.500

***

Energetically preferred structure: A | next structure: +1.727 eV/atom

***

## A
Material: Rb2MnPt
Method: DFT, PBE
State: relaxed

Values from the calculation:
The calculation puts the magnetization at 20.03 Bohr magnetons per cell. The calculation puts the volume at 33.84 Å³/atom.

abc: 8.150 8.150 8.150
angles: 90.00 90.00 90.00
Space group Fm-3m (No. 225)
One atom of each set of equivalent atoms:
1 Rb 0.250 0.250 0.250
2 Mn 0.000 0.000 0.000
3 Pt 0.000 0.000 0.500

***

## B
Material: Rb2MnPt
Method: DFT, PBE
State: relaxed

Values from the calculation:
The calculation puts the magnetization at 19.42 Bohr magnetons per cell. The calculation puts the volume at 50.21 Å³/atom.

abc: 13.014 13.014 4.744
angles: 90.00 90.00 90.00
Space group I-42d (No. 122)
One atom of each set of equivalent atoms:
1 Rb 0.065 0.250 0.125
2 Mn 0.000 0.000 0.000
3 Pt 0.000 0.000 0.500

***

Energetically preferred structure: B | next structure: +0.305 eV/atom

***

## A
Material: MnRe2Pt
Method: DFT, PBE
State: relaxed

Values from the calculation:
The calculation puts the magnetization at 0.00 Bohr magnetons per cell. The calculation puts the volume at 14.42 Å³/atom.

abc: 6.133 6.133 6.133
angles: 90.00 90.00 90.00
Space group Fm-3m (No. 225)
One atom of each set of equivalent atoms:
1 Mn 0.000 0.000 0.000
2 Re 0.250 0.250 0.250
3 Pt 0.000 0.000 0.500

***

## B
Material: MnRe2Pt
Method: DFT, PBE
State: relaxed

Values from the calculation:
The calculation puts the magnetization at 10.73 Bohr magnetons per cell. The calculation puts the volume at 14.91 Å³/atom.

abc: 2.7900 2.7900 26.5363
angles: 90.00 90.00 120.00
Space group R3m (No. 160, hexagonal axes)
One atom of each set of equivalent atoms:
1 Mn 0.0000 0.0000 0.0000
2 Re 0.0000 0.0000 0.4961
3 Re 0.0000 0.0000 0.7491
4 Pt 0.0000 0.0000 0.2520

***

Energetically preferred structure: B | next structure: +0.471 eV/atom

***

## A
Material: MnRe2Pt
Method: DFT, PBE
State: relaxed

Values from the calculation:
The calculation puts the magnetization at 2.26 Bohr magnetons per cell. The calculation puts the volume at 14.51 Å³/atom.

abc: 2.716 3.897 5.485
angles: 90.00 90.00 90.00
Space group Pmm2 (No. 25)
One atom of each set of equivalent atoms:
1 Mn 0.000 0.000 0.000
2 Re 0.000 0.000 0.516
3 Re 0.500 0.500 0.754
4 Pt 0.500 0.500 0.245

***

## B
Material: MnRe2Pt
Method: DFT, PBE
State: relaxed

Values from the calculation:
The calculation puts the magnetization at 4.50 Bohr magnetons per cell. The calculation puts the volume at 14.44 Å³/atom.

abc: 9.078 2.727 4.735
angles: 90.00 99.68 90.00
Space group C2/m (No. 12)
One atom of each set of equivalent atoms:
1 Mn 0.000 0.000 0.000
2 Re 0.250 0.000 0.757
3 Pt 0.000 0.500 0.500

***

Energetically preferred structure: A | next structure: +0.039 eV/atom

***

## A
Material: MnRePt2
Method: DFT, PBE
State: relaxed

Values from the calculation:
The calculation puts the magnetization at 10.17 Bohr magnetons per cell. The calculation puts the volume at 15.41 Å³/atom.

abc: 6.271 6.271 6.271
angles: 90.00 90.00 90.00
Space group Fm-3m (No. 225)
One atom of each set of equivalent atoms:
1 Mn 0.000 0.000 0.000
2 Re 0.000 0.000 0.500
3 Pt 0.250 0.250 0.250

***

## B
Material: MnRePt2
Method: DFT, PBE
State: relaxed

Values from the calculation:
The calculation puts the magnetization at 2.82 Bohr magnetons per cell. The calculation puts the volume at 14.69 Å³/atom.

abc: 2.727 2.727 7.904
angles: 90.00 90.00 90.00
Space group P4mm (No. 99)
One atom of each set of equivalent atoms:
1 Mn 0.000 0.000 0.000
2 Re 0.500 0.500 0.762
3 Pt 0.000 0.000 0.514
4 Pt 0.500 0.500 0.238

***

Energetically preferred structure: B | next structure: +0.286 eV/atom

***

## A
Material: MnRePt
Method: DFT, PBE
State: relaxed

Values from the calculation:
The calculation puts the magnetization at 0.00 Bohr magnetons per cell. The calculation puts the volume at 13.97 Å³/atom.

abc: 2.7165 2.7165 6.5568
angles: 90.00 90.00 120.00
Space group P3m1 (No. 156)
One atom of each set of equivalent atoms:
1 Mn 0.0000 0.0000 0.0000
2 Re 0.3333 0.6667 0.6954
3 Pt 0.6667 0.3333 0.3320

***

## B
Material: MnRePt
Method: DFT, PBE
State: relaxed

Values from the calculation:
The calculation puts the magnetization at 1.22 Bohr magnetons per cell. The calculation puts the volume at 13.90 Å³/atom.

abc: 2.713 2.713 11.329
angles: 90.00 90.00 90.00
Space group I4mm (No. 107)
One atom of each set of equivalent atoms:
1 Mn 0.000 0.000 0.000
2 Re 0.000 0.000 0.352
3 Pt 0.000 0.000 0.670

***

## C
Material: MnRePt
Method: DFT, PBE
State: relaxed

Values from the calculation:
The calculation puts the magnetization at 15.20 Bohr magnetons per cell. The calculation puts the volume at 17.63 Å³/atom.

abc: 5.959 5.959 5.959
angles: 90.00 90.00 90.00
Space group F-43m (No. 216)
One atom of each set of equivalent atoms:
1 Mn 0.000 0.000 0.000
2 Re 0.000 0.000 0.500
3 Pt 0.250 0.250 0.250

***

Energetically preferred structure: B | next structure: +0.068 eV/atom

***

## A
Material: MnRePt
Method: DFT, PBE
State: relaxed

Values from the calculation:
The calculation puts the magnetization at 2.32 Bohr magnetons per cell. The calculation puts the volume at 14.30 Å³/atom.

abc: 4.3312 4.3312 2.6408
angles: 90.00 90.00 120.00
Space group P-6m2 (No. 187)
One atom of each set of equivalent atoms:
1 Mn 0.0000 0.0000 0.0000
2 Re 0.3333 0.6667 0.5000
3 Pt 0.6667 0.3333 0.0000

***

## B
Material: MnRePt
Method: DFT, PBE
State: relaxed

Values from the calculation:
The calculation puts the magnetization at 3.67 Bohr magnetons per cell. The calculation puts the volume at 15.92 Å³/atom.

abc: 5.759 5.759 5.759
angles: 90.00 90.00 90.00
Space group F-43m (No. 216)
One atom of each set of equivalent atoms:
1 Mn 0.000 0.000 0.000
2 Re 0.250 0.250 0.250
3 Pt 0.250 0.250 0.750

***

Energetically preferred structure: A | next structure: +0.384 eV/atom